Record 1
This record from Alexandria via LeMat-Bulk describes a relaxed structure of Pa2Te3H2. The functional is PBE.

Cell lengths 4.0586, 4.1991, 18.2735 Å; angles 90.00, 90.00, 90.00 degrees
Sites, in units of the cell vectors:
Pa1 0.0000 0.0000 0.1244
Pa2 0.0000 0.0000 0.8756
Pa3 0.5000 0.5000 0.3756
Pa4 0.5000 0.5000 0.6244
Te1 0.0000 0.0000 0.3085
Te2 0.0000 0.0000 0.6915
Te3 0.0000 0.5000 0.0000
Te4 0.5000 0.0000 0.5000
Te5 0.5000 0.5000 0.1915
Te6 0.5000 0.5000 0.8085
H1 0.0000 0.5000 0.4199
H2 0.0000 0.5000 0.5801
H3 0.5000 0.0000 0.0801
H4 0.5000 0.0000 0.9199

Output
Calculated density ... 9.03 g cm⁻³
Calculated total energy ... -79.741 eV for the cell shown

Record 2
This record from Alexandria via LeMat-Bulk describes a relaxed structure of Pr2SmZr. The functional is PBE.

Cell lengths 3.5411, 3.5411, 34.7978 Å; angles 90.00, 90.00, 120.00 degrees
Sites, in units of the cell vectors:
Pr1 0.0000 0.0000 0.0000
Pr2 0.0000 0.0000 0.1779
Pr3 0.3333 0.6667 0.6667
Pr4 0.3333 0.6667 0.8445
Pr5 0.6667 0.3333 0.3333
Pr6 0.6667 0.3333 0.5112
Sm1 0.0000 0.0000 0.4209
Sm2 0.3333 0.6667 0.0876
Sm3 0.6667 0.3333 0.7542
Zr1 0.0000 0.0000 0.5893
Zr2 0.3333 0.6667 0.2559
Zr3 0.6667 0.3333 0.9226

Output
Relative energy among the computed polymorphs ... 0 kJ/mol of formula units
Calculated density ... 6.90 g cm⁻³
Calculated total energy ... -66.835 eV for the cell shown

Record 3
This record from Alexandria via LeMat-Bulk describes a relaxed structure of DyTmTlRu. The functional is PBE.

Cell lengths 7.1389, 7.1389, 7.1389 Å; angles 90.00, 90.00, 90.00 degrees
Sites, in units of the cell vectors:
Dy1 0.0000 0.0000 0.0000
Dy2 0.0000 0.5000 0.5000
Dy3 0.5000 0.0000 0.5000
Dy4 0.5000 0.5000 0.0000
Tm1 0.0000 0.0000 0.5000
Tm2 0.0000 0.5000 0.0000
Tm3 0.5000 0.0000 0.0000
Tm4 0.5000 0.5000 0.5000
Tl1 0.2500 0.2500 0.7500
Tl2 0.2500 0.7500 0.2500
Tl3 0.7500 0.2500 0.2500
Tl4 0.7500 0.7500 0.7500
Ru1 0.2500 0.2500 0.2500
Ru2 0.2500 0.7500 0.7500
Ru3 0.7500 0.2500 0.7500
Ru4 0.7500 0.7500 0.2500

Output
Calculated density ... 11.63 g cm⁻³
Calculated total energy ... -87.137 eV for the cell shown

Record 4
This record from Alexandria via LeMat-Bulk describes a relaxed structure of In3SnSb. The functional is PBE.

Cell lengths 5.5856, 5.5856, 5.5856 Å; angles 90.00, 90.00, 90.00 degrees
Sites, in units of the cell vectors:
In1 0.0000 0.0000 0.5000
In2 0.0000 0.5000 0.0000
In3 0.5000 0.0000 0.0000
Sn1 0.0000 0.0000 0.0000
Sb1 0.5000 0.5000 0.5000

Output
Relative energy among the computed polymorphs ... 0 kJ/mol of formula units
Calculated density ... 5.57 g cm⁻³
Calculated total energy ... -14.082 eV for the cell shown
Energy relative to the elements, uncorrected ... 2.259 eV/f.u.